Entry 1:
TaBe2Te | the Alexandria database | PBE | relaxed; formation energy without anion corrections = 0.342 eV per atom
1.0
-0.863 -3.520 -0.194
2.697 -0.759 1.773
-1.861 0.187 4.875
Be Te Ta
2 1 1
direct
0.000 0.176 0.034
0.500 0.019 0.262
0.500 0.862 0.756
0.000 0.444 0.448

***

Entry 2:
TaBe2Te | the Alexandria database | PBE | relaxed; formation energy without anion corrections = 0.577 eV per atom
1.0
-2.672 -1.098 0.482
1.651 -2.018 1.333
-0.479 4.259 7.043
Be Te Ta
2 1 1
direct
0.000 0.000 0.050
0.000 0.000 0.450
0.500 0.500 0.750
0.500 0.500 0.250